# 1
Compound: Mg4CdPb5
Source: Alexandria
Functional: PBE
Structure: optimized geometry

Cell: 3.5668 3.5668 20.9585 Å, 90.00 90.00 90.00°
Atoms (fractional coordinates):
Pb 0.5000 0.5000 0.6977
Pb 0.5000 0.5000 0.3023
Pb 0.5000 0.5000 0.5000
Pb 0.5000 0.5000 0.8949
Pb 0.5000 0.5000 0.1051
Mg 0.0000 0.0000 0.2042
Mg 0.0000 0.0000 0.7958
Mg 0.0000 0.0000 0.4001
Mg 0.0000 0.0000 0.5999
Cd 0.0000 0.0000 0.0000

Results
- ΔE_f: -0.04 eV per atom
- Magnetic moment: 0.00 Bohr magnetons per cell



# 2
Compound: Mg2CdPb
Source: Alexandria
Functional: PBE
Structure: optimized geometry

Cell: 4.1376 4.1376 7.6305 Å, 74.27 74.27 60.00°
Atoms (fractional coordinates):
Mg 0.0770 0.0770 0.7691
Mg 0.2557 0.2557 0.2328
Pb 0.5004 0.5004 0.4989
Cd 0.6669 0.6669 0.9992

Results
- ΔE_f: 0.10 eV per atom
- Magnetic moment: 0.00 Bohr magnetons per cell



# 3
Compound: MgCd2Pb
Source: Alexandria
Functional: PBE
Structure: optimized geometry

Cell: 4.8640 4.4989 4.4989 Å, 90.00 90.00 90.00°
Atoms (fractional coordinates):
Mg 0.5000 0.5000 0.0000
Pb 0.5000 0.0000 0.5000
Cd 0.0000 0.0000 0.0000
Cd 0.0000 0.5000 0.5000

Results
- ΔE_f: -0.01 eV per atom
- Magnetic moment: 0.00 Bohr magnetons per cell
- Energy above the most stable polymorph in this dataset: 9 meV per atom



# 4
Compound: Mg8Cd2Pb3
Source: Alexandria
Functional: PBE
Structure: optimized geometry

Cell: 5.9429 5.9429 11.5821 Å, 75.13 75.13 60.00°
Atoms (fractional coordinates):
Mg 0.7320 0.2284 0.3076
Mg 0.7208 0.7208 0.8377
Mg 0.7320 0.7320 0.3076
Mg 0.2284 0.7320 0.3076
Mg 0.7716 0.2680 0.6924
Mg 0.2680 0.7716 0.6924
Mg 0.2680 0.2680 0.6924
Mg 0.2792 0.2792 0.1623
Cd 0.6373 0.6373 0.0881
Cd 0.3627 0.3627 0.9119
Pb 0.0000 0.0000 0.0000
Pb 0.1883 0.1883 0.4351
Pb 0.8117 0.8117 0.5649

Results
- ΔE_f: 0.05 eV per atom
- Magnetic moment: 0.00 Bohr magnetons per cell
- Energy above the most stable polymorph in this dataset: 23 meV per atom



# 5
Compound: Mg4Cd4Pb
Source: Alexandria
Functional: PBE
Structure: optimized geometry

Cell: 4.4544 7.1705 7.1705 Å, 84.46 71.90 71.90°
Atoms (fractional coordinates):
Cd 0.3373 0.6628 0.6627
Cd 0.0000 0.6627 0.3372
Cd 0.6627 0.3372 0.3373
Cd 0.0000 0.3373 0.6628
Mg 0.3295 0.0000 0.3409
Mg 0.6705 0.0000 0.6591
Mg 0.6704 0.6591 0.0000
Mg 0.3296 0.3409 0.0000
Pb 0.0000 0.0000 0.0000

Results
- ΔE_f: -0.05 eV per atom
- Magnetic moment: 0.00 Bohr magnetons per cell
- Energy above the most stable polymorph in this dataset: 0 meV per atom



# 6
Compound: MgCd2Pb
Source: Alexandria
Functional: PBE
Structure: optimized geometry

Cell: 5.9292 5.9193 3.5154 Å, 79.61 76.54 115.58°
Atoms (fractional coordinates):
Cd 0.0000 0.0000 0.0000
Cd 0.5000 0.0000 0.5000
Mg 0.0000 0.5000 0.5000
Pb 0.5000 0.5000 0.0000

Results
- ΔE_f: 0.03 eV per atom
- Magnetic moment: 0.00 Bohr magnetons per cell
- Energy above the most stable polymorph in this dataset: 48 meV per atom



# 7
Compound: Mg4Cd5Pb2
Source: Alexandria
Functional: PBE
Structure: optimized geometry

Cell: 3.2026 7.5292 11.1461 Å, 88.61 90.00 90.00°
Atoms (fractional coordinates):
Cd 0.0000 0.5000 0.0000
Cd 0.0000 0.4640 0.7092
Cd 0.0000 0.5360 0.2908
Cd 0.0000 0.1444 0.9110
Cd 0.0000 0.8556 0.0890
Mg 0.5000 0.6998 0.5224
Mg 0.5000 0.3002 0.4776
Mg 0.5000 0.7713 0.8464
Mg 0.5000 0.2287 0.1536
Pb 0.0000 0.0207 0.6558
Pb 0.0000 0.9793 0.3442

Results
- ΔE_f: -0.02 eV per atom
- Magnetic moment: 0.00 Bohr magnetons per cell



# 8
Compound: Mg8Cd6Pb
Source: Alexandria
Functional: PBE
Structure: optimized geometry

Cell: 8.5594 8.5594 7.6711 Å, 56.09 56.09 60.00°
Atoms (fractional coordinates):
Pb 0.0000 0.0000 0.0000
Cd 0.0543 0.7045 0.8346
Cd 0.5934 0.9457 0.1654
Cd 0.4066 0.0543 0.8346
Cd 0.7045 0.4066 0.8346
Cd 0.2955 0.5934 0.1654
Cd 0.9457 0.2955 0.1654
Mg 0.1189 0.4312 0.6538
Mg 0.3328 0.3328 0.0016
Mg 0.8811 0.5688 0.3462
Mg 0.5688 0.2039 0.3462
Mg 0.7961 0.1189 0.6538
Mg 0.4312 0.7961 0.6538
Mg 0.6672 0.6672 0.9984
Mg 0.2039 0.8811 0.3462

Results
- ΔE_f: -0.01 eV per atom
- Magnetic moment: 0.00 Bohr magnetons per cell



# 9
Compound: Mg3CdPb
Source: Alexandria
Functional: PBE
Structure: optimized geometry

Cell: 7.1581 7.1581 7.1581 Å, 90.00 90.00 90.00°
Atoms (fractional coordinates):
Cd 0.0000 0.0000 0.5000
Cd 0.5000 0.0000 0.0000
Cd 0.0000 0.5000 0.0000
Mg 0.2275 0.2275 0.2275
Mg 0.7725 0.7725 0.2275
Mg 0.2275 0.7725 0.2275
Mg 0.2275 0.7725 0.7725
Mg 0.5000 0.5000 0.5000
Mg 0.7725 0.2275 0.7725
Mg 0.7725 0.7725 0.7725
Mg 0.2275 0.2275 0.7725
Mg 0.7725 0.2275 0.2275
Pb 0.0000 0.5000 0.5000
Pb 0.5000 0.5000 0.0000
Pb 0.5000 0.0000 0.5000

Results
- ΔE_f: -0.02 eV per atom
- Magnetic moment: 0.00 Bohr magnetons per cell
- Energy above the most stable polymorph in this dataset: 0 meV per atom



# 10
Compound: MgCd2Pb
Source: Alexandria
Functional: PBE
Structure: optimized geometry

Cell: 10.2562 10.2562 10.2562 Å, 19.15 19.15 19.15°
Atoms (fractional coordinates):
Mg 0.5084 0.5084 0.5084
Pb 0.7514 0.7514 0.7514
Cd 0.9914 0.9914 0.9914
Cd 0.2488 0.2488 0.2488

Results
- ΔE_f: 0.02 eV per atom
- Magnetic moment: 0.00 Bohr magnetons per cell
- Energy above the most stable polymorph in this dataset: 32 meV per atom



# 11
Compound: Mg2Cd3Pb
Source: Alexandria
Functional: PBE
Structure: optimized geometry

Cell: 5.4683 8.5873 7.9815 Å, 127.68 87.14 103.68°
Atoms (fractional coordinates):
Cd 0.7117 0.3763 0.4143
Cd 0.3758 0.3580 0.7495
Cd 0.6242 0.6420 0.2505
Cd 0.9552 0.5961 0.8969
Cd 0.0448 0.4039 0.1031
Cd 0.2883 0.6237 0.5857
Pb 0.1312 0.1018 0.2441
Pb 0.8688 0.8982 0.7559
Mg 0.4658 0.1573 0.9421
Mg 0.5342 0.8427 0.0579
Mg 0.7839 0.1292 0.5771
Mg 0.2161 0.8708 0.4229

Results
- ΔE_f: -0.03 eV per atom
- Magnetic moment: 0.00 Bohr magnetons per cell



# 12
Compound: MgCd4Pb
Source: Alexandria
Functional: PBE
Structure: optimized geometry

Cell: 5.9363 5.9363 5.9363 Å, 60.00 60.00 60.00°
Atoms (fractional coordinates):
Cd 0.1259 0.6247 0.6247
Cd 0.6247 0.6247 0.1259
Cd 0.6247 0.6247 0.6247
Cd 0.6247 0.1259 0.6247
Pb 0.0000 0.0000 0.0000
Mg 0.2500 0.2500 0.2500

Results
- ΔE_f: 0.03 eV per atom
- Magnetic moment: 0.00 Bohr magnetons per cell
- Energy above the most stable polymorph in this dataset: 41 meV per atom